# Hg2MoHO (PBE with a Hubbard U, optimized geometry)
# - Energy: -2.786 eV/atom
data_Hg2MoHO
_chemical_formula_sum 'Hg2 Mo1 H1 O1'
_symmetry_space_group_name_H-M 'P 4/m m m'
_symmetry_Int_Tables_number 123
_symmetry_space_group_name_Hall '-P 4 2'
_cell_length_a 5.433
_cell_length_b 5.433
_cell_length_c 2.643
_cell_angle_alpha 90.00
_cell_angle_beta 90.00
_cell_angle_gamma 90.00
loop_
_atom_site_label
_atom_site_type_symbol
_atom_site_fract_x
_atom_site_fract_y
_atom_site_fract_z
Hg1 Hg 0.000 0.500 0.000
Mo1 Mo 0.000 0.000 0.500
H1 H 0.500 0.500 0.500
O1 O 0.500 0.500 0.000